# 1
First-principles (PBE) data for a geometry-optimized LiCrAs structure, as listed in Alexandria via LeMat-Bulk.

Calculated values
**DFT formation energy**: 0.104 eV per atom
**N(E_F)**: 3.08 states/eV/cell
**SG**: P-6m2 (187)
**Total energy**: -5.29 eV/atom

Cell: 4.195 4.195 2.718 Å, 90.00 90.00 120.00°
Sites, in units of the cell vectors:
Li: 0.000 0.000 0.000
Cr: 0.333 0.667 0.500
As: 0.667 0.333 0.500

=====

# 2
First-principles (PBE) data for a geometry-optimized Sr2DyZnSe5 structure, as listed in Alexandria via LeMat-Bulk.

Calculated values
**N(E_F)**: 10.47 states/eV/cell
**SG**: Cmc2_1 (36)
**Total energy**: -4.48 eV/atom
**Formation energy from raw total energies**: -147 kJ/mol of atoms

Cell: 9.484 9.484 12.725 Å, 90.00 90.00 154.72°
Sites, in units of the cell vectors:
Sr: 0.116 0.884 0.500
Sr: 0.123 0.877 0.138
Sr: 0.877 0.123 0.638
Sr: 0.884 0.116 0.000
Dy: 0.204 0.796 0.833
Dy: 0.796 0.204 0.333
Zn: 0.441 0.559 0.248
Zn: 0.559 0.441 0.748
Se: 0.046 0.954 0.853
Se: 0.297 0.703 0.486
Se: 0.310 0.690 0.176
Se: 0.356 0.644 0.822
Se: 0.498 0.502 0.580
Se: 0.502 0.498 0.080
Se: 0.644 0.356 0.322
Se: 0.690 0.310 0.676
Se: 0.703 0.297 0.986
Se: 0.954 0.046 0.353

=====

# 3
First-principles (PBE) data for a geometry-optimized Al5ZnAg4 structure, as listed in Alexandria via LeMat-Bulk.

Calculated values
**DFT formation energy**: 0.054 eV per atom
**N(E_F)**: 6.29 states/eV/cell
**Relative energy among the computed polymorphs**: 2.1 meV per atom
**SG**: Pmmn (59)
**Total energy**: -3.08 eV/atom

Cell: 8.426 8.895 4.901 Å, 90.00 90.00 90.00°
Sites, in units of the cell vectors:
Al: 0.080 0.010 0.241
Al: 0.080 0.490 0.241
Al: 0.250 0.750 0.058
Al: 0.420 0.010 0.241
Al: 0.420 0.490 0.241
Al: 0.580 0.510 0.759
Al: 0.580 0.990 0.759
Al: 0.750 0.250 0.942
Al: 0.920 0.510 0.759
Al: 0.920 0.990 0.759
Zn: 0.250 0.250 0.351
Zn: 0.750 0.750 0.649
Ag: 0.064 0.750 0.518
Ag: 0.250 0.009 0.757
Ag: 0.250 0.491 0.757
Ag: 0.436 0.750 0.518
Ag: 0.564 0.250 0.482
Ag: 0.750 0.509 0.243
Ag: 0.750 0.991 0.243
Ag: 0.936 0.250 0.482

=====

# 4
First-principles (PBE) data for a geometry-optimized BaOsW2 structure, as listed in Alexandria via LeMat-Bulk.

Calculated values
**DFT formation energy**: 0.911 eV per atom
**N(E_F)**: 3.33 states/eV/cell
**Relative energy among the computed polymorphs**: 117.5 meV per atom
**SG**: Cm (8)
**Total energy**: -8.85 eV/atom

Cell: 5.049 5.049 6.634 Å, 102.78 102.78 36.00°
Sites, in units of the cell vectors:
Ba: 0.000 0.000 0.000
Os: 0.234 0.234 0.647
W: 0.516 0.516 0.522
W: 0.800 0.800 0.383

=====

# 5
First-principles (PBE) data for a geometry-optimized K3YAs structure, as listed in Alexandria via LeMat-Bulk.

Calculated values
**DFT formation energy**: 0.421 eV per atom
**N(E_F)**: 4.52 states/eV/cell
**Relative energy among the computed polymorphs**: 0.0 meV per atom
**SG**: Pm-3m (221)
**Total energy**: -2.46 eV/atom

Cell: 6.379 6.379 6.379 Å, 90.00 90.00 90.00°
Sites, in units of the cell vectors:
K: 0.000 0.000 0.500
K: 0.000 0.500 0.000
K: 0.500 0.000 0.000
Y: 0.500 0.500 0.500
As: 0.000 0.000 0.000

=====

# 6
First-principles (PBE) data for a geometry-optimized FeReIr structure, as listed in Alexandria via LeMat-Bulk.

Calculated values
**DFT formation energy**: 0.001 eV per atom
**N(E_F)**: 2.31 states/eV/cell
**Relative energy among the computed polymorphs**: 74.8 meV per atom
**SG**: P-6m2 (187)
**Total energy**: -9.92 eV/atom

Cell: 4.238 4.238 2.658 Å, 90.00 90.00 120.00°
Sites, in units of the cell vectors:
Fe: 0.000 0.000 0.000
Re: 0.333 0.667 0.500
Ir: 0.667 0.333 0.000

=====

# 7
First-principles (PBE) data for a geometry-optimized TaRuSe structure, as listed in Alexandria via LeMat-Bulk.

Calculated values
**N(E_F)**: 2.06 states/eV/cell
**Relative energy among the computed polymorphs**: 459.4 meV per atom
**SG**: F-43m (216)
**Total energy**: -8.01 eV/atom
**Formation energy from raw total energies**: 19 kJ/mol of atoms

Cell: 4.321 4.321 4.321 Å, 60.00 60.00 60.00°
Sites, in units of the cell vectors:
Ta: 0.000 0.000 0.000
Ru: 0.250 0.250 0.250
Se: 0.750 0.750 0.750

=====

# 8
First-principles (PBE) data for a geometry-optimized AsRhSe2 structure, as listed in Alexandria via LeMat-Bulk.

Calculated values
**N(E_F)**: 2.73 states/eV/cell
**SG**: Pmmm (47)
**Total energy**: -4.37 eV/atom
**Formation energy from raw total energies**: 36 kJ/mol of atoms

Cell: 3.177 4.580 4.849 Å, 90.00 90.00 90.00°
Sites, in units of the cell vectors:
As: 0.000 0.000 0.000
Rh: 0.500 0.000 0.500
Se: 0.000 0.500 0.500
Se: 0.500 0.500 0.000

=====

Q: Number 6 is which compound?
A: FeReIr

=====

Q: Look up the total energy of the seventh one.
A: -8.01 eV/atom

=====

Q: What is the total energy in the eighth record?
A: -4.37 eV/atom